Entry 1:
LiCe2HoTe5 | PBE-GGA | optimized geometry

Raw total energy: -5.064 eV/atom
SG: Cmc2_1, No. 36
Magnetization: 3.9 Bohr magnetons per cell

Cell: 4.413 9.624 13.200 Å, 90.00 90.00 103.25°
Each line ends with the local moment (μB).
Sites, in units of the cell vectors:
Li 0.559 0.118 0.961  0.00
Li 0.441 0.882 0.461  0.00
Ce 0.874 0.749 0.804  0.96
Ce 0.107 0.214 0.685  0.96
Ce 0.126 0.251 0.304  0.96
Ce 0.893 0.786 0.185  0.96
Ho 0.802 0.604 0.510  0.01
Ho 0.198 0.396 0.010  0.01
Te 0.362 0.723 0.999  -0.02
Te 0.690 0.379 0.847  -0.01
Te 0.498 0.996 0.780  -0.03
Te 0.285 0.569 0.669  -0.02
Te 0.953 0.906 0.570  -0.02
Te 0.638 0.277 0.499  -0.02
Te 0.310 0.621 0.347  -0.01
Te 0.502 0.004 0.280  -0.03
Te 0.715 0.431 0.169  -0.02
Te 0.047 0.094 0.070  -0.02

=====

Entry 2:
CaCeHo2 | PBE-GGA | optimized geometry

Raw total energy: -4.183 eV/atom
SG: R3m, No. 160
Polymorph energy (0 for the lowest one): 0.0 meV per atom
Magnetization: 0.3 Bohr magnetons per cell

Cell: 3.564 3.564 11.925 Å, 81.41 81.41 60.00°
Each line ends with the local moment (μB).
Sites, in units of the cell vectors:
Ca 0.501 0.501 0.498  0.00
Ce 0.666 0.666 0.001  0.28
Ho 0.078 0.078 0.767  -0.01
Ho 0.255 0.255 0.234  -0.02

=====

Entry 3:
Cs2LaReCl6 | PBE-GGA | optimized geometry

Raw total energy: -4.393 eV/atom
SG: Fm-3m, No. 225
Magnetization: 0.0 Bohr magnetons per cell

Cell: 7.421 7.421 7.422 Å, 60.00 60.00 90.00°
Sites, in units of the cell vectors:
Cs 0.750 0.250 0.500
Cs 0.250 0.750 0.500
Re 0.000 0.000 0.000
Cl 0.234 0.234 0.533
Cl 0.766 0.766 0.467
Cl 0.234 0.234 0.000
Cl 0.766 0.766 0.000
Cl 0.766 0.234 0.000
Cl 0.234 0.766 0.000
La 0.500 0.500 0.000

=====

Entry 4:
Ho4Tl2Bi | PBE-GGA | optimized geometry

Raw total energy: -4.172 eV/atom
SG: P2_1/m, No. 11
Magnetization: 0.0 Bohr magnetons per cell

Cell: 5.847 6.588 10.783 Å, 90.00 103.21 90.00°
Sites, in units of the cell vectors:
Ho 0.616 0.507 0.266
Ho 0.939 0.750 0.856
Ho 0.061 0.250 0.144
Ho 0.616 0.993 0.266
Ho 0.808 0.250 0.555
Ho 0.384 0.007 0.734
Ho 0.384 0.493 0.734
Ho 0.192 0.750 0.445
Tl 0.496 0.750 0.994
Tl 0.504 0.250 0.006
Tl 0.253 0.250 0.442
Tl 0.747 0.750 0.558
Bi 0.068 0.750 0.159
Bi 0.932 0.250 0.841